[1]
The following is a GGA-PBE calculation of a relaxed Sm9InSn2 crystal, from Alexandria via LeMat-Bulk.

Unit cell a=4.911 b=4.911 c=14.704 alpha=90.00 beta=90.00 gamma=90.00
Element x y z (fractional)
Sm 0.000 0.000 0.000
Sm 0.000 0.000 0.335
Sm 0.000 0.000 0.665
Sm 0.000 0.500 0.169
Sm 0.000 0.500 0.500
Sm 0.000 0.500 0.831
Sm 0.500 0.000 0.169
Sm 0.500 0.000 0.500
Sm 0.500 0.000 0.831
In 0.500 0.500 0.000
Sn 0.500 0.500 0.333
Sn 0.500 0.500 0.667

Summary:
ΔE_f   -9.03 kcal/mol of atoms


[2]
The following is a GGA-PBE calculation of a relaxed ZrTlN2 crystal, from Alexandria via LeMat-Bulk.

Unit cell a=4.226 b=4.226 c=4.226 alpha=60.00 beta=60.00 gamma=60.00
Element x y z (fractional)
Zr 0.000 0.000 0.000
Tl 0.500 0.500 0.500
N 0.250 0.250 0.250
N 0.750 0.750 0.750

Summary:
E_form (uncorrected)   0.634 eV/atom


[3]
The following is a GGA-PBE calculation of a relaxed AgAu2Cl crystal, from Alexandria via LeMat-Bulk.

Unit cell a=5.683 b=5.683 c=5.683 alpha=148.97 beta=111.59 gamma=77.00
Element x y z (fractional)
Ag 0.000 0.000 0.000
Au 0.487 0.487 0.000
Au 0.742 0.242 0.500
Cl 0.241 0.741 0.500

Summary:
E_form (uncorrected)   0.154 eV/atom


[4]
The following is a GGA-PBE calculation of a relaxed Sm2ThH8 crystal, from Alexandria via LeMat-Bulk.

Unit cell a=6.497 b=6.497 c=6.497 alpha=147.08 beta=128.24 gamma=62.72
Element x y z (fractional)
Sm 0.168 0.168 0.000
Sm 0.832 0.832 0.000
Th 0.500 0.500 0.000
H 0.079 0.336 0.742
H 0.232 0.000 0.232
H 0.348 0.848 0.500
H 0.406 0.664 0.742
H 0.594 0.336 0.258
H 0.652 0.152 0.500
H 0.768 0.000 0.768
H 0.921 0.664 0.258

Summary:
Uncorrected energy   -4.526 eV/atom


[5]
The following is a GGA-PBE calculation of a relaxed KAlS2 crystal, from Alexandria via LeMat-Bulk.

Unit cell a=6.627 b=3.493 c=8.470 alpha=90.00 beta=99.81 gamma=90.00
Element x y z (fractional)
K 0.218 0.250 0.353
K 0.782 0.750 0.647
Al 0.356 0.250 0.863
Al 0.644 0.750 0.137
S 0.281 0.750 0.675
S 0.292 0.750 0.053
S 0.708 0.250 0.947
S 0.719 0.250 0.325

Summary:
E_form (uncorrected)   -1.185 eV/atom


[6]
The following is a GGA-PBE calculation of a relaxed Sm6Tl3N crystal, from Alexandria via LeMat-Bulk.

Unit cell a=6.869 b=6.869 c=7.122 alpha=98.62 beta=98.62 gamma=60.05
Element x y z (fractional)
Sm 0.135 0.653 0.643
Sm 0.149 0.149 0.843
Sm 0.347 0.865 0.357
Sm 0.653 0.135 0.643
Sm 0.851 0.851 0.157
Sm 0.865 0.347 0.357
Tl 0.327 0.327 0.263
Tl 0.500 0.500 0.000
Tl 0.673 0.673 0.737
N 0.000 0.000 0.500

Summary:
E_form (uncorrected)   -0.412 eV/atom


[7]
The following is a GGA-PBE calculation of a relaxed AcNd12Hg6 crystal, from Alexandria via LeMat-Bulk.

Unit cell a=9.026 b=9.026 c=9.026 alpha=104.37 beta=104.37 gamma=104.37
Element x y z (fractional)
Ac 0.000 0.000 0.000
Nd 0.120 0.500 0.880
Nd 0.120 0.880 0.500
Nd 0.179 0.435 0.435
Nd 0.435 0.179 0.435
Nd 0.435 0.435 0.179
Nd 0.500 0.120 0.880
Nd 0.500 0.880 0.120
Nd 0.565 0.565 0.821
Nd 0.565 0.821 0.565
Nd 0.821 0.565 0.565
Nd 0.880 0.120 0.500
Nd 0.880 0.500 0.120
Hg 0.251 0.251 0.708
Hg 0.251 0.708 0.251
Hg 0.292 0.749 0.749
Hg 0.708 0.251 0.251
Hg 0.749 0.292 0.749
Hg 0.749 0.749 0.292

Summary:
ΔE_f   -2.47 kcal/mol of atoms


[8]
The following is a GGA-PBE calculation of a relaxed NdSmAl2Si crystal, from Alexandria via LeMat-Bulk.

Unit cell a=6.921 b=6.921 c=6.921 alpha=143.14 beta=142.45 gamma=53.63
Element x y z (fractional)
Nd 0.000 0.000 0.000
Sm 0.259 0.759 0.500
Al 0.604 0.604 0.000
Al 0.749 0.249 0.500
Si 0.407 0.407 0.000

Summary:
E_form (uncorrected)   -0.401 eV/atom


[9]
The following is a GGA-PBE calculation of a relaxed Tc3Pb crystal, from Alexandria via LeMat-Bulk.

Unit cell a=2.982 b=2.982 c=8.770 alpha=90.00 beta=90.00 gamma=120.00
Element x y z (fractional)
Tc 0.000 0.000 0.000
Tc 0.667 0.333 0.231
Tc 0.667 0.333 0.769
Pb 0.000 0.000 0.500

Summary:
ΔE_f   11.79 kcal/mol of atoms


[10]
The following is a GGA-PBE calculation of a relaxed Fe2HgPt crystal, from Alexandria via LeMat-Bulk.

Unit cell a=3.945 b=3.945 c=3.927 alpha=90.00 beta=90.00 gamma=90.00
Element x y z (fractional)
Fe 0.000 0.500 0.000
Fe 0.500 0.000 0.000
Hg 0.000 0.000 0.500
Pt 0.500 0.500 0.500

Summary:
ΔE_f   3.71 kcal/mol of atoms


[11]
The following is a GGA-PBE calculation of a relaxed AcLaCu2 crystal, from Alexandria via LeMat-Bulk.

Unit cell a=3.739 b=3.739 c=7.406 alpha=90.00 beta=90.00 gamma=90.00
Element x y z (fractional)
Ac 0.000 0.000 0.000
La 0.000 0.000 0.500
Cu 0.500 0.500 0.267
Cu 0.500 0.500 0.733

Summary:
ΔE_f   -2.58 kcal/mol of atoms


[12]
The following is a GGA-PBE calculation of a relaxed LuAgPdPt crystal, from Alexandria via LeMat-Bulk.

Unit cell a=4.681 b=4.681 c=4.681 alpha=60.00 beta=60.00 gamma=60.00
Element x y z (fractional)
Lu 0.000 0.000 0.000
Ag 0.500 0.500 0.500
Pd 0.750 0.750 0.750
Pt 0.250 0.250 0.250

Summary:
ΔE_f   -17.01 kcal/mol of atoms


[13]
The following is a GGA-PBE calculation of a relaxed Dy6YHo4 crystal, from Alexandria via LeMat-Bulk.

Unit cell a=5.575 b=5.575 c=25.522 alpha=90.00 beta=90.00 gamma=118.68
Element x y z (fractional)
Dy 0.000 0.000 0.000
Dy 0.000 0.000 0.500
Dy 0.027 0.973 0.750
Dy 0.308 0.692 0.104
Dy 0.308 0.692 0.396
Dy 0.361 0.639 0.681
Dy 0.361 0.639 0.819
Dy 0.639 0.361 0.181
Dy 0.639 0.361 0.319
Dy 0.692 0.308 0.604
Dy 0.692 0.308 0.896
Dy 0.973 0.027 0.250
Y 0.308 0.692 0.250
Y 0.692 0.308 0.750
Ho 0.031 0.969 0.622
Ho 0.031 0.969 0.878
Ho 0.344 0.656 0.543
Ho 0.344 0.656 0.957
Ho 0.656 0.344 0.043
Ho 0.656 0.344 0.457
Ho 0.969 0.031 0.122
Ho 0.969 0.031 0.378

Summary:
ΔE_f   2.94 kcal/mol of atoms


[14]
The following is a GGA-PBE calculation of a relaxed KLaPt10 crystal, from Alexandria via LeMat-Bulk.

Unit cell a=4.385 b=5.514 c=9.458 alpha=90.00 beta=90.00 gamma=90.00
Element x y z (fractional)
K 0.000 0.000 0.000
La 0.000 0.500 0.500
Pt 0.000 0.000 0.335
Pt 0.000 0.000 0.665
Pt 0.000 0.500 0.168
Pt 0.000 0.500 0.832
Pt 0.500 0.000 0.500
Pt 0.500 0.253 0.255
Pt 0.500 0.253 0.745
Pt 0.500 0.500 0.000
Pt 0.500 0.747 0.255
Pt 0.500 0.747 0.745

Summary:
ΔE_f   -10.40 kcal/mol of atoms


[15]
The following is a GGA-PBE calculation of a relaxed La3Tb6Dy crystal, from Alexandria via LeMat-Bulk.

Unit cell a=6.957 b=6.957 c=6.957 alpha=91.56 beta=91.56 gamma=91.56
Element x y z (fractional)
La 0.000 0.000 0.000
La 0.248 0.248 0.248
La 0.752 0.752 0.752
Tb 0.076 0.427 0.745
Tb 0.255 0.924 0.573
Tb 0.427 0.745 0.076
Tb 0.573 0.255 0.924
Tb 0.745 0.076 0.427
Tb 0.924 0.573 0.255
Dy 0.500 0.500 0.500

Summary:
ΔE_f   6.27 kcal/mol of atoms


[16]
The following is a GGA-PBE calculation of a relaxed Ce2Zn3Ge crystal, from Alexandria via LeMat-Bulk.

Unit cell a=3.878 b=4.393 c=7.621 alpha=90.00 beta=90.00 gamma=90.00
Element x y z (fractional)
Ce 0.000 0.000 0.000
Ce 0.000 0.500 0.482
Zn 0.500 0.000 0.663
Zn 0.500 0.500 0.153
Zn 0.500 0.500 0.821
Ge 0.500 0.000 0.329

Summary:
ΔE_f   -9.25 kcal/mol of atoms


[17]
The following is a GGA-PBE calculation of a relaxed AcPdI crystal, from Alexandria via LeMat-Bulk.

Unit cell a=10.903 b=10.903 c=4.582 alpha=90.06 beta=90.06 gamma=21.89
Element x y z (fractional)
Ac 0.081 0.081 0.251
Ac 0.919 0.919 0.749
Pd 0.465 0.465 0.250
Pd 0.535 0.535 0.750
I 0.328 0.328 0.249
I 0.672 0.672 0.751

Summary:
E_form (uncorrected)   -1.071 eV/atom


[18]
The following is a GGA-PBE calculation of a relaxed UPt3Se8 crystal, from Alexandria via LeMat-Bulk.

Unit cell a=7.369 b=7.369 c=7.873 alpha=118.44 beta=118.44 gamma=60.00
Element x y z (fractional)
U 0.000 0.000 0.000
Pt 0.000 0.500 0.000
Pt 0.500 0.000 0.000
Pt 0.500 0.500 0.000
Se 0.259 0.723 0.237
Se 0.260 0.260 0.237
Se 0.264 0.264 0.795
Se 0.277 0.741 0.763
Se 0.723 0.259 0.237
Se 0.736 0.736 0.205
Se 0.740 0.740 0.763
Se 0.741 0.277 0.763

Summary:
E_form (uncorrected)   -0.550 eV/atom


[19]
The following is a GGA-PBE calculation of a relaxed Mn2CuHPt crystal, from Alexandria via LeMat-Bulk.

Unit cell a=3.952 b=3.952 c=3.795 alpha=90.00 beta=90.00 gamma=90.00
Element x y z (fractional)
Mn 0.000 0.500 0.000
Mn 0.500 0.000 0.000
Cu 0.000 0.000 0.500
H 0.500 0.500 0.000
Pt 0.500 0.500 0.500

Summary:
Uncorrected energy   -6.396 eV/atom


[20]
The following is a GGA-PBE calculation of a relaxed Tb4CePm8 crystal, from Alexandria via LeMat-Bulk.

Unit cell a=10.091 b=10.091 c=10.091 alpha=43.04 beta=43.04 gamma=43.04
Element x y z (fractional)
Tb 0.000 0.000 0.000
Tb 0.000 0.500 0.500
Tb 0.500 0.000 0.500
Tb 0.500 0.500 0.000
Ce 0.500 0.500 0.500
Pm 0.202 0.744 0.744
Pm 0.221 0.221 0.221
Pm 0.256 0.256 0.798
Pm 0.256 0.798 0.256
Pm 0.744 0.202 0.744
Pm 0.744 0.744 0.202
Pm 0.779 0.779 0.779
Pm 0.798 0.256 0.256

Summary:
ΔE_f   3.36 kcal/mol of atoms